# 1
A relaxed Ce5SmN6 crystal, computed with PBE.

```
Ce5SmN6
1.0
3.092 -5.355 0.000
3.092 5.355 0.000
-2.059 0.000 5.832
Ce Sm N
5 1 6
Direct
0.000 0.000 0.000 Ce
0.167 0.833 0.500 Ce
0.333 0.667 0.000 Ce
0.667 0.333 0.000 Ce
0.833 0.167 0.500 Ce
0.500 0.500 0.500 Sm
0.077 0.416 0.248 N
0.245 0.245 0.753 N
0.416 0.077 0.248 N
0.584 0.923 0.752 N
0.755 0.755 0.247 N
0.923 0.584 0.752 N
```

## Properties
As for the space group: No. 12. The calculation puts the uncorrected formation energy at -1.50 eV per atom.

---

# 2
A relaxed Ce2SmN3 crystal, computed with PBE.

```
Ce2SmN3
1.0
6.115 0.000 0.000
-3.058 5.296 0.000
0.000 0.000 6.518
Ce Sm N
4 2 6
Direct
0.333 0.667 0.000 Ce
0.333 0.667 0.500 Ce
0.667 0.333 0.000 Ce
0.667 0.333 0.500 Ce
0.000 0.000 0.250 Sm
0.000 0.000 0.750 Sm
0.000 0.390 0.250 N
0.000 0.610 0.750 N
0.390 0.000 0.250 N
0.390 0.390 0.750 N
0.610 0.000 0.750 N
0.610 0.610 0.250 N
```

## Properties
As for the space group: No. 193. The calculation puts the uncorrected formation energy at -1.18 eV per atom. The calculation puts the offset from the most stable computed form at 322 meV per atom.

---

# 3
A relaxed Ce4SmN5 crystal, computed with PBE.

```
Ce4SmN5
1.0
-1.787 1.787 12.598
1.787 -1.787 12.598
1.787 1.787 -12.598
Ce Sm N
4 1 5
Direct
0.100 0.100 0.000 Ce
0.300 0.300 0.000 Ce
0.700 0.700 0.000 Ce
0.900 0.900 0.000 Ce
0.500 0.500 0.000 Sm
0.000 0.000 0.000 N
0.200 0.200 0.000 N
0.399 0.399 0.000 N
0.601 0.601 0.000 N
0.800 0.800 0.000 N
```

## Properties
As for the space group: No. 139. The calculation puts the uncorrected formation energy at -1.50 eV per atom.

---

# 4
A relaxed CeSmN2 crystal, computed with PBE.

```
CeSmN2
1.0
3.523 0.000 0.000
-1.762 3.051 0.000
0.000 0.000 6.115
Ce Sm N
1 1 2
Direct
0.000 0.000 0.000 Ce
0.000 0.000 0.500 Sm
0.333 0.667 0.758 N
0.667 0.333 0.242 N
```

## Properties
As for the space group: No. 164. The calculation puts the uncorrected formation energy at -1.16 eV per atom.

---

# 5
A relaxed Ce2Sm2N3 crystal, computed with PBE.

```
Ce2Sm2N3
1.0
6.693 -1.758 0.000
6.693 1.758 0.000
-2.722 0.000 5.510
Ce Sm N
2 2 3
Direct
0.131 0.131 0.310 Ce
0.869 0.869 0.690 Ce
0.371 0.371 0.216 Sm
0.629 0.629 0.784 Sm
0.000 0.000 0.500 N
0.261 0.261 0.755 N
0.739 0.739 0.245 N
```

## Properties
As for the space group: No. 12. The calculation puts the uncorrected formation energy at -1.17 eV per atom.

---

# 6
A relaxed Ce2Sm3N4 crystal, computed with PBE.

```
Ce2Sm3N4
1.0
5.987 -1.785 0.000
5.987 1.785 0.000
-4.471 0.000 7.691
Ce Sm N
2 3 4
Direct
0.105 0.105 0.386 Ce
0.895 0.895 0.614 Ce
0.296 0.296 0.190 Sm
0.500 0.500 0.000 Sm
0.704 0.704 0.810 Sm
0.101 0.101 0.898 N
0.303 0.303 0.694 N
0.697 0.697 0.306 N
0.899 0.899 0.102 N
```

## Properties
As for the space group: No. 12. The calculation puts the uncorrected formation energy at -1.29 eV per atom.

---

# 7
A relaxed Ce2SmN3 crystal, computed with PBE.

```
Ce2SmN3
1.0
-1.786 2.529 5.352
1.786 -2.529 5.352
1.786 2.529 -5.352
Ce Sm N
2 1 3
Direct
0.166 0.166 0.000 Ce
0.834 0.834 0.000 Ce
0.500 0.500 0.000 Sm
0.000 0.500 0.500 N
0.327 0.827 0.500 N
0.673 0.173 0.500 N
```

## Properties
As for the space group: No. 71. The calculation puts the uncorrected formation energy at -1.50 eV per atom. The calculation puts the offset from the most stable computed form at 0 meV per atom.

---

# 8
A relaxed CeSm2N crystal, computed with PBE.

```
CeSm2N
1.0
3.187 0.000 0.000
0.000 3.187 0.000
0.000 0.000 8.754
Ce Sm N
1 2 1
Direct
0.000 0.000 0.000 Ce
0.500 0.500 0.334 Sm
0.500 0.500 0.666 Sm
0.000 0.000 0.500 N
```

## Properties
As for the space group: No. 123. The calculation puts the uncorrected formation energy at -0.14 eV per atom. The calculation puts the offset from the most stable computed form at 430 meV per atom.

---

# 9
A relaxed Ce3SmN4 crystal, computed with PBE.

```
Ce3SmN4
1.0
3.574 -5.052 0.000
3.574 5.052 0.000
0.000 0.000 3.574
Ce Sm N
3 1 4
Direct
0.000 0.000 0.000 Ce
0.000 0.500 0.500 Ce
0.500 0.000 0.500 Ce
0.500 0.500 0.000 Sm
0.244 0.244 0.500 N
0.248 0.752 0.000 N
0.752 0.248 0.000 N
0.756 0.756 0.500 N
```

## Properties
As for the space group: No. 65. The calculation puts the uncorrected formation energy at -1.50 eV per atom.

---

# 10
A relaxed Ce5Sm3N8 crystal, computed with PBE.

```
Ce5Sm3N8
1.0
3.574 2.064 5.835
-3.574 2.064 5.835
0.000 -4.127 5.835
Ce Sm N
5 3 8
Direct
0.000 0.000 0.000 Ce
0.000 0.500 0.500 Ce
0.500 0.000 0.500 Ce
0.500 0.500 0.000 Ce
0.500 0.500 0.500 Ce
0.000 0.000 0.500 Sm
0.000 0.500 0.000 Sm
0.500 0.000 0.000 Sm
0.250 0.250 0.744 N
0.250 0.744 0.250 N
0.254 0.254 0.254 N
0.256 0.750 0.750 N
0.744 0.250 0.250 N
0.746 0.746 0.746 N
0.750 0.256 0.750 N
0.750 0.750 0.256 N
```

## Properties
As for the space group: No. 166. The calculation puts the uncorrected formation energy at -1.50 eV per atom.

---

# 11
A relaxed Ce2Sm5N5 crystal, computed with PBE.

```
Ce2Sm5N5
1.0
5.984 -1.735 0.000
5.984 1.735 0.000
-3.801 0.000 11.812
Ce Sm N
2 5 5
Direct
0.049 0.049 0.297 Ce
0.951 0.951 0.703 Ce
0.278 0.278 0.123 Sm
0.349 0.349 0.438 Sm
0.500 0.500 0.000 Sm
0.651 0.651 0.562 Sm
0.722 0.722 0.877 Sm
0.000 0.000 0.500 N
0.122 0.122 0.937 N
0.328 0.328 0.620 N
0.672 0.672 0.380 N
0.878 0.878 0.063 N
```

## Properties
As for the space group: No. 12. The calculation puts the uncorrected formation energy at -1.02 eV per atom.

---

# 12
A relaxed CeSm2N crystal, computed with PBE.

```
CeSm2N
1.0
1.743 1.006 9.724
-1.743 1.006 9.724
0.000 -2.013 9.724
Ce Sm N
1 2 1
Direct
0.000 0.000 0.000 Ce
0.119 0.119 0.119 Sm
0.881 0.881 0.881 Sm
0.500 0.500 0.500 N
```

## Properties
As for the space group: No. 166. The calculation puts the uncorrected formation energy at -0.57 eV per atom. The calculation puts the offset from the most stable computed form at 0 meV per atom.

---

# 13
A relaxed Ce4Sm2N crystal, computed with PBE.

```
Ce4Sm2N
1.0
-2.448 2.448 8.341
2.448 -2.448 8.341
2.448 2.448 -8.341
Ce Sm N
4 2 1
Direct
0.000 0.500 0.500 Ce
0.140 0.140 0.000 Ce
0.500 0.000 0.500 Ce
0.860 0.860 0.000 Ce
0.342 0.342 0.000 Sm
0.658 0.658 0.000 Sm
0.000 0.000 0.000 N
```

## Properties
As for the space group: No. 139. The calculation puts the uncorrected formation energy at -0.19 eV per atom.

---

# 14
A relaxed Ce2SmSnN2 crystal, computed with PBE.

```
Ce2SmSnN2
1.0
4.517 0.000 0.000
0.000 4.517 0.000
0.000 0.000 6.682
Ce Sm Sn N
2 1 1 2
Direct
0.000 0.000 0.226 Ce
0.000 0.000 0.774 Ce
0.500 0.500 0.000 Sm
0.500 0.500 0.500 Sn
0.000 0.500 0.000 N
0.500 0.000 0.000 N
```

## Properties
As for the space group: No. 123. The calculation puts the uncorrected formation energy at -0.80 eV per atom.

---

# 15
A relaxed Ce2SmSnN crystal, computed with PBE.

```
Ce2SmSnN
1.0
4.872 0.000 0.000
0.000 4.872 0.000
0.000 0.000 5.014
Ce Sm Sn N
2 1 1 1
Direct
0.000 0.500 0.000 Ce
0.500 0.000 0.000 Ce
0.000 0.000 0.500 Sm
0.500 0.500 0.500 Sn
0.000 0.000 0.000 N
```

## Properties
As for the space group: No. 123. The calculation puts the uncorrected formation energy at -0.97 eV per atom.

---

# 16
A relaxed SrCe3Sm2N6 crystal, computed with PBE.

```
SrCe3Sm2N6
1.0
7.843 -1.801 0.000
7.843 1.801 0.000
-1.618 0.000 7.027
Sr Ce Sm N
1 3 2 6
Direct
0.000 0.000 0.000 Sr
0.000 0.000 0.500 Ce
0.333 0.333 0.167 Ce
0.667 0.667 0.833 Ce
0.331 0.331 0.664 Sm
0.669 0.669 0.336 Sm
0.167 0.167 0.588 N
0.176 0.176 0.082 N
0.496 0.496 0.277 N
0.504 0.504 0.723 N
0.824 0.824 0.918 N
0.833 0.833 0.412 N
```

## Properties
As for the space group: No. 12. The calculation puts the uncorrected formation energy at -1.39 eV per atom.

---

# 17
A relaxed CeSmTaN3 crystal, computed with PBE.

```
CeSmTaN3
1.0
5.840 0.000 0.000
0.000 3.403 0.000
-1.951 0.000 8.584
Ce Sm Ta N
2 2 2 6
Direct
0.144 0.250 0.183 Ce
0.856 0.750 0.817 Ce
0.269 0.750 0.549 Sm
0.731 0.250 0.451 Sm
0.371 0.250 0.868 Ta
0.629 0.750 0.132 Ta
0.065 0.250 0.689 N
0.261 0.750 0.982 N
0.448 0.750 0.316 N
0.552 0.250 0.684 N
0.739 0.250 0.018 N
0.935 0.750 0.311 N
```

## Properties
As for the space group: No. 11. The calculation puts the uncorrected formation energy at -1.41 eV per atom.

---

# 18
A relaxed Ce3Sm3TaN8 crystal, computed with PBE.

```
Ce3Sm3TaN8
1.0
3.490 2.015 5.727
-3.490 2.015 5.727
0.000 -4.030 5.727
Ce Sm Ta N
3 3 1 8
Direct
0.000 0.500 0.500 Ce
0.500 0.000 0.500 Ce
0.500 0.500 0.000 Ce
0.000 0.000 0.500 Sm
0.000 0.500 0.000 Sm
0.500 0.000 0.000 Sm
0.000 0.000 0.000 Ta
0.218 0.218 0.773 N
0.218 0.773 0.218 N
0.227 0.782 0.782 N
0.252 0.252 0.252 N
0.748 0.748 0.748 N
0.773 0.218 0.218 N
0.782 0.227 0.782 N
0.782 0.782 0.227 N
```

## Properties
As for the space group: No. 166. The calculation puts the uncorrected formation energy at -1.38 eV per atom.

---

# 19
A relaxed CeSm2TaN4 crystal, computed with PBE.

```
CeSm2TaN4
1.0
5.971 0.000 0.000
0.000 3.401 0.000
-1.903 0.000 5.660
Ce Sm Ta N
1 2 1 4
Direct
0.000 0.000 0.000 Ce
0.000 0.500 0.500 Sm
0.500 0.000 0.500 Sm
0.500 0.500 0.000 Ta
0.270 0.500 0.222 N
0.282 0.000 0.788 N
0.718 0.000 0.212 N
0.730 0.500 0.778 N
```

## Properties
As for the space group: No. 10. The calculation puts the uncorrected formation energy at -1.37 eV per atom.

---

# 20
A relaxed Ce2SmTaN4 crystal, computed with PBE.

```
Ce2SmTaN4
1.0
5.962 0.000 0.000
0.000 3.395 0.000
-1.936 0.000 5.667
Ce Sm Ta N
2 1 1 4
Direct
0.000 0.000 0.000 Ce
0.500 0.500 0.000 Ce
0.000 0.500 0.500 Sm
0.500 0.000 0.500 Ta
0.278 0.000 0.729 N
0.285 0.500 0.281 N
0.715 0.500 0.719 N
0.722 0.000 0.271 N
```

## Properties
As for the space group: No. 10. The calculation puts the uncorrected formation energy at -1.40 eV per atom.

---

# 21
A relaxed Ce2Sm3TaN6 crystal, computed with PBE.

```
Ce2Sm3TaN6
1.0
3.016 -5.217 0.000
3.016 5.217 0.000
-1.992 0.000 5.693
Ce Sm Ta N
2 3 1 6
Direct
0.167 0.833 0.000 Ce
0.833 0.167 0.000 Ce
0.000 0.000 0.500 Sm
0.334 0.666 0.500 Sm
0.666 0.334 0.500 Sm
0.500 0.500 0.000 Ta
0.120 0.426 0.780 N
0.269 0.269 0.229 N
0.426 0.120 0.780 N
0.574 0.880 0.220 N
0.731 0.731 0.771 N
0.880 0.574 0.220 N
```

## Properties
As for the space group: No. 12. The calculation puts the uncorrected formation energy at -1.43 eV per atom.

---

# 22
A relaxed Tb2CeSmN4 crystal, computed with PBE.

```
Tb2CeSmN4
1.0
6.113 0.000 0.000
0.000 3.539 0.000
-2.024 0.000 5.771
Tb Ce Sm N
2 1 1 4
Direct
0.000 0.000 0.000 Tb
0.000 0.500 0.500 Tb
0.500 0.000 0.500 Ce
0.500 0.500 0.000 Sm
0.248 0.000 0.743 N
0.249 0.500 0.254 N
0.751 0.500 0.746 N
0.752 0.000 0.257 N
```

## Properties
As for the space group: No. 10. The calculation puts the uncorrected formation energy at -1.58 eV per atom.

---

# 23
A relaxed TbCe2Sm3N6 crystal, computed with PBE.

```
TbCe2Sm3N6
1.0
3.083 -5.342 0.000
3.083 5.342 0.000
-2.054 0.000 5.816
Tb Ce Sm N
1 2 3 6
Direct
0.000 0.000 0.000 Tb
0.333 0.667 0.000 Ce
0.667 0.333 0.000 Ce
0.166 0.834 0.500 Sm
0.500 0.500 0.500 Sm
0.834 0.166 0.500 Sm
0.080 0.416 0.240 N
0.256 0.256 0.759 N
0.416 0.080 0.240 N
0.584 0.920 0.760 N
0.744 0.744 0.241 N
0.920 0.584 0.760 N
```

## Properties
As for the space group: No. 12. The calculation puts the uncorrected formation energy at -1.54 eV per atom.

---

no.,D(E_F) (states/eV per cell)
1,12.76
2,15.28
3,9.97
4,3.37
5,8.90
6,8.16
7,4.89
8,6.44
9,7.55
10,11.77
11,13.29
12,6.17
13,18.09
14,8.60
15,8.72
16,7.59
17,5.35
18,9.38
19,4.28
20,4.68
21,7.39
22,3.33
23,5.16